The following is a PBE calculation of crystalline RbZr2CrHg at its relaxed geometry, from the Alexandria database.

a b c (Å): 5.502 5.502 5.354
angles (deg): 90.00 90.00 90.00
Fractional coordinates of all 5 atoms:
Rb (0.000, 0.000, 0.000)
Zr (0.000, 0.500, 0.500)
Zr (0.500, 0.000, 0.500)
Cr (0.500, 0.500, 0.000)
Hg (0.500, 0.500, 0.500)

Properties
**Density**: 5332 kg/m³
**Total magnetic moment**: 0.348 μB/atom
**Formation enthalpy at 0 K**: 1228 meV per atom